Entry 1:
The following is a DFT calculation (PBE) of LiNpAgS4 after structural relaxation.

Values from the calculation:
E_tot, eV/atom: -5.6746
Uncorrected formation energy, kJ/mol of formula units: -531

Geometry as POSCAR:
```
LiNpAgS4
1.0
-3.901 4.073 4.747
3.901 -4.073 4.747
3.901 4.073 -4.747
Li Np Ag S
2 2 2 8
Direct
0.500 0.000 0.000
0.500 0.500 0.500
0.000 0.000 0.000
0.500 0.000 0.500
0.054 0.304 0.750
0.946 0.696 0.250
0.227 0.192 0.465
0.227 0.761 0.035
0.288 0.741 0.547
0.305 0.259 0.047
0.695 0.741 0.953
0.712 0.259 0.453
0.773 0.239 0.965
0.773 0.808 0.535
```

Entry 2:
The following is a DFT calculation (PBE) of Li3NpAg2S6 after structural relaxation.

Values from the calculation:
E_tot, eV/atom: -4.9060
Uncorrected formation energy, kJ/mol of formula units: -938

Geometry as POSCAR:
```
Li3NpAg2S6
1.0
3.364 -5.411 0.000
3.364 5.411 0.000
-2.616 0.000 6.188
Li Np Ag S
3 1 2 6
Direct
0.000 0.000 0.000
0.339 0.661 0.000
0.661 0.339 0.000
0.500 0.500 0.500
0.177 0.823 0.500
0.823 0.177 0.500
0.109 0.432 0.232
0.251 0.251 0.720
0.432 0.109 0.232
0.568 0.891 0.768
0.749 0.749 0.280
0.891 0.568 0.768
```

Entry 3:
The following is a DFT calculation (PBE) of LiNp3Ag3S8 after structural relaxation.

Values from the calculation:
E_tot, eV/atom: -6.3534
Uncorrected formation energy, kJ/mol of formula units: -1253

Geometry as POSCAR:
```
LiNp3Ag3S8
1.0
3.968 2.291 5.937
-3.968 2.291 5.937
0.000 -4.582 5.937
Li Np Ag S
1 3 3 8
Direct
0.000 0.000 0.000
0.000 0.500 0.500
0.500 0.000 0.500
0.500 0.500 0.000
0.000 0.000 0.500
0.000 0.500 0.000
0.500 0.000 0.000
0.248 0.248 0.737
0.248 0.737 0.248
0.252 0.252 0.252
0.263 0.752 0.752
0.737 0.248 0.248
0.748 0.748 0.748
0.752 0.263 0.752
0.752 0.752 0.263
```

Entry 4:
The following is a DFT calculation (PBE) of LiNp2AgS4 after structural relaxation.

Values from the calculation:
E_tot, eV/atom: -7.0026
Uncorrected formation energy, kJ/mol of formula units: -855

Geometry as POSCAR:
```
LiNp2AgS4
1.0
6.446 0.000 0.000
0.000 4.015 0.000
-2.458 0.000 6.488
Li Np Ag S
1 2 1 4
Direct
0.000 0.000 0.000
0.500 0.000 0.500
0.500 0.500 0.000
0.000 0.500 0.500
0.254 0.500 0.247
0.256 0.000 0.759
0.744 0.000 0.241
0.746 0.500 0.753
```

Entry 5:
The following is a DFT calculation (PBE) of Li4Np3AgSe8 after structural relaxation.

Values from the calculation:
E_tot, eV/atom: -5.8881
Uncorrected formation energy, kJ/mol of formula units: -1641

Geometry as POSCAR:
```
Li4Np3AgSe8
1.0
4.050 2.338 6.466
-4.050 2.338 6.466
0.000 -4.676 6.466
Li Np Ag Se
4 3 1 8
Direct
0.000 0.000 0.000
0.000 0.500 0.500
0.500 0.000 0.500
0.500 0.500 0.000
0.000 0.000 0.500
0.000 0.500 0.000
0.500 0.000 0.000
0.500 0.500 0.500
0.244 0.754 0.754
0.246 0.246 0.756
0.246 0.756 0.246
0.253 0.253 0.253
0.747 0.747 0.747
0.754 0.244 0.754
0.754 0.754 0.244
0.756 0.246 0.246
```

Entry 6:
The following is a DFT calculation (PBE) of LiNpAg2Se4 after structural relaxation.

Values from the calculation:
E_tot, eV/atom: -4.9423
Uncorrected formation energy, kJ/mol of formula units: -487

Geometry as POSCAR:
```
LiNpAg2Se4
1.0
6.539 0.000 0.000
0.000 4.171 0.000
-2.290 0.000 6.585
Li Np Ag Se
1 1 2 4
Direct
0.000 0.000 0.000
0.000 0.500 0.500
0.500 0.000 0.500
0.500 0.500 0.000
0.237 0.500 0.245
0.243 0.000 0.744
0.757 0.000 0.256
0.763 0.500 0.755
```